[1]
DFT (PBE-GGA) results for crystalline CrCd2Os at its relaxed geometry.

Cell lengths 2.9692, 4.7599, 9.7183 Å; angles 90.00, 90.00, 90.00 degrees
With the nearest neighbours (Å) after each atom.
Space group Cmmm (No. 65)
Symmetry-distinct sites (fractional):
Cr  0.0000  0.0000  0.0000 (multiplicity 2)  6 Cr 2.81-2.97, 4 Cd 2.83
Cd  0.0000  0.5000  0.2481 (multiplicity 4)  6 Cd 2.81-2.97, 2 Cr 2.83, 2 Os 2.86
Os  0.0000  0.0000  0.5000 (multiplicity 2)  6 Os 2.81-2.97, 4 Cd 2.86

Calculated density, Mg/m³: 11.3
Energy above the lowest structure with this stoichiometry, kJ/mol of atoms: 47.9
ΔE_f, eV per atom: 0.72
Electronic total energy, eV per cell: -39.603

***

[2]
DFT (PBE-GGA) results for crystalline Cr2CdOs at its relaxed geometry.

Cell lengths 2.9313, 4.5029, 8.8370 Å; angles 90.00, 90.00, 90.00 degrees
With the nearest neighbours (Å) after each atom.
Space group Cmm2 (No. 35)
Symmetry-distinct sites (fractional):
Cr  0.0000  0.0000  0.0000 (multiplicity 2)  2 Cr 2.28
Cr  0.0000  0.5000  0.1980 (multiplicity 2)  2 Cr 2.28, 2 Os 2.53
Cd  0.0000  0.5000  0.7228 (multiplicity 2)  6 Cd 2.69-2.93, 2 Cr 2.85, 2 Os 2.96
Os  0.0000  0.0000  0.4312 (multiplicity 2)  2 Cr 2.53, 4 Os 2.69

Calculated density, Mg/m³: 11.6
ΔE_f, eV per atom: 0.42
Electronic total energy, eV per cell: -59.419